# 1
DFT (PBE-GGA) results for a geometry-optimized Sc2CdOs structure. Values from VASP.

Geometry as Quantum ESPRESSO input:
```
&SYSTEM
  ibrav = 0, nat = 8, ntyp = 3
/
ATOMIC_SPECIES
Sc 44.96 Sc.upf
Cd 112.41 Cd.upf
Os 190.23 Os.upf
CELL_PARAMETERS angstrom
4.1706 0.0000 0.0000
0.0000 4.1706 0.0000
0.0000 0.0000 8.6454
ATOMIC_POSITIONS crystal
Sc 0.0000 0.0000 0.0000
Sc 0.0000 0.5000 0.2500
Sc 0.5000 0.0000 0.7500
Sc 0.5000 0.5000 0.5000
Cd 0.0000 0.5000 0.7500
Cd 0.5000 0.0000 0.2500
Os 0.0000 0.0000 0.5000
Os 0.5000 0.5000 0.0000
```



# 2
DFT (PBE-GGA) results for a geometry-optimized Al2ReSb structure. Values from VASP.

Geometry as Quantum ESPRESSO input:
```
&SYSTEM
  ibrav = 0, nat = 12, ntyp = 3
/
ATOMIC_SPECIES
Al 26.98 Al.upf
Re 186.21 Re.upf
Sb 121.76 Sb.upf
CELL_PARAMETERS angstrom
3.0995 0.0000 0.0000
-1.5497 2.6842 0.0000
0.0000 0.0000 26.0718
ATOMIC_POSITIONS crystal
Al 0.0000 0.0000 0.2395
Al 0.0000 0.0000 0.7605
Al 0.3333 0.6667 0.4272
Al 0.3333 0.6667 0.9061
Al 0.6667 0.3333 0.0939
Al 0.6667 0.3333 0.5728
Re 0.0000 0.0000 0.5000
Re 0.3333 0.6667 0.1667
Re 0.6667 0.3333 0.8333
Sb 0.0000 0.0000 0.0000
Sb 0.3333 0.6667 0.6667
Sb 0.6667 0.3333 0.3333
```

Summary:
The formation energy (no corrections) is 0.18 eV/atom.



# 3
DFT (PBE-GGA) results for a geometry-optimized RbLiSb2Te4 structure. Values from VASP.

Geometry as Quantum ESPRESSO input:
```
&SYSTEM
  ibrav = 0, nat = 16, ntyp = 4
/
ATOMIC_SPECIES
Rb 85.47 Rb.upf
Li 6.94 Li.upf
Sb 121.76 Sb.upf
Te 127.60 Te.upf
CELL_PARAMETERS angstrom
2.2517 -7.5594 0.0000
2.2517 7.5594 0.0000
0.0000 0.0000 16.0472
ATOMIC_POSITIONS crystal
Rb 0.1103 0.8897 0.7500
Rb 0.8897 0.1103 0.2500
Li 0.1643 0.8357 0.2500
Li 0.8357 0.1643 0.7500
Sb 0.3666 0.6334 0.5641
Sb 0.3666 0.6334 0.9359
Sb 0.6334 0.3666 0.0641
Sb 0.6334 0.3666 0.4359
Te 0.0000 0.0000 0.0000
Te 0.0000 0.0000 0.5000
Te 0.2651 0.7349 0.1043
Te 0.2651 0.7349 0.3957
Te 0.4286 0.5714 0.7500
Te 0.5714 0.4286 0.2500
Te 0.7349 0.2651 0.6043
Te 0.7349 0.2651 0.8957
```

Summary:
The formation energy (no corrections) is -0.45 eV/atom.



# 4
DFT (PBE-GGA) results for a geometry-optimized SrHo2Hg3 structure. Values from VASP.

Geometry as Quantum ESPRESSO input:
```
&SYSTEM
  ibrav = 0, nat = 6, ntyp = 3
/
ATOMIC_SPECIES
Sr 87.62 Sr.upf
Ho 164.93 Ho.upf
Hg 200.59 Hg.upf
CELL_PARAMETERS angstrom
3.7732 0.0000 0.0000
0.0000 3.7732 0.0000
0.0000 0.0000 11.5250
ATOMIC_POSITIONS crystal
Sr 0.0000 0.0000 0.0000
Ho 0.0000 0.0000 0.3417
Ho 0.0000 0.0000 0.6583
Hg 0.5000 0.5000 0.1929
Hg 0.5000 0.5000 0.5000
Hg 0.5000 0.5000 0.8071
```



# 5
DFT (PBE-GGA) results for a geometry-optimized KLaBr2 structure. Values from VASP.

Geometry as Quantum ESPRESSO input:
```
&SYSTEM
  ibrav = 0, nat = 16, ntyp = 3
/
ATOMIC_SPECIES
K 39.10 K.upf
La 138.91 La.upf
Br 79.90 Br.upf
CELL_PARAMETERS angstrom
7.5319 0.0000 0.0000
0.0000 7.5319 0.0000
0.0000 0.0000 12.9132
ATOMIC_POSITIONS crystal
K 0.0000 0.0000 0.0000
K 0.0000 0.5000 0.2500
K 0.5000 0.0000 0.7500
K 0.5000 0.5000 0.5000
La 0.0000 0.0000 0.5000
La 0.0000 0.5000 0.7500
La 0.5000 0.0000 0.2500
La 0.5000 0.5000 0.0000
Br 0.2322 0.2500 0.6250
Br 0.2500 0.7322 0.8750
Br 0.2500 0.7678 0.3750
Br 0.2678 0.2500 0.1250
Br 0.7322 0.7500 0.1250
Br 0.7500 0.2322 0.3750
Br 0.7500 0.2678 0.8750
Br 0.7678 0.7500 0.6250
```

Summary:
The formation energy (no corrections) is -1.12 eV/atom. The relative energy among the computed polymorphs is 0.307 eV per atom.



# 6
DFT (PBE-GGA) results for a geometry-optimized MgTcSnH structure. Values from VASP.

Geometry as Quantum ESPRESSO input:
```
&SYSTEM
  ibrav = 0, nat = 8, ntyp = 4
/
ATOMIC_SPECIES
Mg 24.30 Mg.upf
Tc 98.00 Tc.upf
Sn 118.71 Sn.upf
H 1.01 H.upf
CELL_PARAMETERS angstrom
9.8189 0.0000 0.0000
0.0000 3.1347 0.0000
-0.2161 0.0000 4.6386
ATOMIC_POSITIONS crystal
Mg 0.0000 0.0000 0.0000
Mg 0.5000 0.5000 0.0000
Tc 0.0299 0.5000 0.5069
Tc 0.5299 0.0000 0.5069
Sn 0.2544 0.0000 0.5228
Sn 0.7544 0.5000 0.5228
H 0.4467 0.5000 0.4474
H 0.9467 0.0000 0.4474
```

Summary:
The relative energy among the computed polymorphs is 0.114 eV per atom.



Calculated total energy
In order: -6.306 -5.835 -3.414 -2.456 -3.465 -4.799
Unit: eV/atom
Spin magnetization
In order: 0.000 0.000 0.000 0.000 0.466 0.000
Unit: μB per atom